Record 1
# AlGeC2Br | Alexandria | GGA-PBE | optimized geometry
# - ΔE_f (raw) (eV per atom) = 1.6038
# - E (eV per cell) = -20.46
data_AlGeC2Br
_symmetry_space_group_name_H-M 'P 1'
_symmetry_Int_Tables_number 1
_cell_length_a 3.9892
_cell_length_b 3.9892
_cell_length_c 5.4424
_cell_angle_alpha 90.00
_cell_angle_beta 90.00
_cell_angle_gamma 90.00
loop_
_symmetry_equiv_pos_as_xyz
'x,y,z'
loop_
_atom_site_label
_atom_site_type_symbol
_atom_site_fract_x
_atom_site_fract_y
_atom_site_fract_z
Al1 Al 0.0000 0.0000 0.0000
Ge1 Ge 0.5000 0.5000 0.5000
C1 C 0.0000 0.5000 0.0000
C2 C 0.5000 0.0000 0.0000
Br1 Br 0.0000 0.0000 0.5000

Record 2
# AlIr2CBr | Alexandria | GGA-PBE | optimized geometry
# - ΔE_f (raw) (eV per atom) = 0.7453
# - E (eV per cell) = -28.63
data_AlIr2CBr
_symmetry_space_group_name_H-M 'P 1'
_symmetry_Int_Tables_number 1
_cell_length_a 3.9196
_cell_length_b 3.9196
_cell_length_c 6.2800
_cell_angle_alpha 90.00
_cell_angle_beta 90.00
_cell_angle_gamma 90.00
loop_
_symmetry_equiv_pos_as_xyz
'x,y,z'
loop_
_atom_site_label
_atom_site_type_symbol
_atom_site_fract_x
_atom_site_fract_y
_atom_site_fract_z
Al1 Al 0.0000 0.0000 0.0000
Ir1 Ir 0.0000 0.5000 0.5000
Ir2 Ir 0.5000 0.0000 0.5000
C1 C 0.0000 0.0000 0.5000
Br1 Br 0.5000 0.5000 0.0000

Table of spin magnetization (μB/cell), in record order: 0.74; 0.00